No. 1
VASP calculation (GGA-PBE) on an optimized crystal structure of PbICl.

Summary:
Formation energy without anion corrections: -2.66 eV/f.u.
N(E_F): 0.0000 states/eV per atom
Spin magnetization: 0.00 μB/f.u.

a b c (Å): 7.835 4.532 7.295
angles (deg): 90.00 110.13 90.00
Space group Cm (No. 8)
Unique sites:
1 Pb 0.000 0.000 0.000 [2 per cell]
2 I 0.257 0.500 0.283 [2 per cell]
3 Cl 0.269 0.000 0.797 [2 per cell]

No. 2
VASP calculation (GGA-PBE) on an optimized crystal structure of PbICl.

Summary:
Formation energy without anion corrections: -2.15 eV/f.u.
N(E_F): 0.0000 states/eV per atom
Spin magnetization: 0.00 μB/f.u.

a b c (Å): 3.892 3.892 13.834
angles (deg): 90.00 90.00 90.00
Space group I4mm (No. 107)
Unique sites:
1 Pb 0.000 0.000 0.000 [2 per cell]
2 I 0.000 0.000 0.357 [2 per cell]
3 Cl 0.000 0.000 0.611 [2 per cell]

No. 3
VASP calculation (GGA-PBE) on an optimized crystal structure of Pb2ICl.

Summary:
Formation energy without anion corrections: -0.98 eV/f.u.
N(E_F): 0.9071 states/eV per atom
Offset from the most stable computed form: 129 meV per atom
Spin magnetization: 0.00 μB/f.u.

a b c (Å): 7.909 7.909 7.909
angles (deg): 90.00 90.00 90.00
Space group Fm-3m (No. 225)
Unique sites:
1 Pb 0.250 0.250 0.250 [8 per cell]
2 I 0.000 0.000 0.000 [4 per cell]
3 Cl 0.000 0.000 0.500 [4 per cell]

No. 4
VASP calculation (GGA-PBE) on an optimized crystal structure of PbICl2.

Summary:
Formation energy without anion corrections: -2.10 eV/f.u.
N(E_F): 1.4442 states/eV per atom
Offset from the most stable computed form: 194 meV per atom
Spin magnetization: 0.90 μB/f.u.

a b c (Å): 9.656 9.656 6.534
angles (deg): 90.00 90.00 90.00
Space group I-42d (No. 122)
Unique sites:
1 Pb 0.000 0.000 0.000 [4 per cell]
2 I 0.000 0.000 0.500 [4 per cell]
3 Cl 0.128 0.250 0.125 [8 per cell]

> N(E_F) of number 1 (PbICl)?

0.0000 states/eV per atom

Repeat the second record exactly.
VASP calculation (GGA-PBE) on an optimized crystal structure of PbICl.

Summary:
Formation energy without anion corrections: -2.15 eV/f.u.
N(E_F): 0.0000 states/eV per atom
Spin magnetization: 0.00 μB/f.u.

a b c (Å): 3.892 3.892 13.834
angles (deg): 90.00 90.00 90.00
Space group I4mm (No. 107)
Unique sites:
1 Pb 0.000 0.000 0.000 [2 per cell]
2 I 0.000 0.000 0.357 [2 per cell]
3 Cl 0.000 0.000 0.611 [2 per cell]

> Which value of spin magnetization does entry 1 give?

0.00 μB/f.u.